Entry from Alexandria: a relaxed AlZnOsPt2 crystal (GGA-PBEsol).

Unit cell a=4.2943 b=4.4511 c=4.4511 alpha=90.00 beta=90.00 gamma=90.00
Sites, in units of the cell vectors:
Al 0.5000 0.0000 0.0000
Pt 0.0000 0.0000 0.5000
Pt 0.0000 0.5000 0.0000
Zn 0.0000 0.0000 0.0000
Os 0.5000 0.5000 0.5000

Summary:
energy of formation from the pure elements: 1.255 eV/atom
crystal system: tetragonal
N(E_F): 4.71 states/eV per cell